No. 1
Material: CrCdRh2
Method: DFT, PBEsol
State: optimized geometry

The space group is P4/mmm (No. 123) and the conventional cell measures 2.7547, 2.7547 and 7.4280 Å, with angles of 90.00, 90.00 and 90.00 degrees. The distinct sites, in fractional coordinates, are Cr at (0.0000, 0.0000, 0.0000), Cd at (0.0000, 0.0000, 0.5000) and Rh at (0.5000, 0.5000, 0.2167).

The theoretical density is 10.9 g cm⁻³. For the energy of formation, the calculation gives -90.1 meV per atom. The value obtained for the uncorrected energy is -7.019 eV/atom. Its spin magnetization is 0.0 μB/f.u.

---

No. 2
Material: CrCdRh2
Method: DFT, PBEsol
State: optimized geometry

The space group is P4mm (No. 99) and the conventional cell measures 3.1768, 3.1768 and 5.8776 Å, with angles of 90.00, 90.00 and 90.00 degrees. The distinct sites, in fractional coordinates, are Cr at (0.0000, 0.0000, 0.0000), Cd at (0.5000, 0.5000, 0.7052), Rh at (0.0000, 0.0000, 0.4431) and Rh at (0.5000, 0.5000, 0.1817).

The theoretical density is 10.4 g cm⁻³. For the energy of formation, the calculation gives 257.4 meV per atom. The value obtained for the uncorrected energy is -6.672 eV/atom. Its spin magnetization is 2.5 μB/f.u.

---

No. 3
Material: CrCdRu2
Method: DFT, PBEsol
State: optimized geometry

The space group is R3m (No. 160, hexagonal axes) and the conventional cell measures 2.7047, 2.7047 and 26.7977 Å, with angles of 90.00, 90.00 and 120.00 degrees. The distinct sites, in fractional coordinates, are Cr at (0.0000, 0.0000, 0.0000), Cd at (0.0000, 0.0000, 0.2439), Ru at (0.0000, 0.0000, 0.4870) and Ru at (0.0000, 0.0000, 0.7405).

The theoretical density is 10.8 g cm⁻³. For the energy of formation, the calculation gives 362.9 meV per atom. The value obtained for the uncorrected energy is -7.583 eV/atom. Its spin magnetization is 0.0 μB/f.u.

---

No. 4
Material: CrCdRu2
Method: DFT, PBEsol
State: optimized geometry

The space group is Imm2 (No. 44) and the conventional cell measures 3.0041, 4.3994 and 8.6751 Å, with angles of 90.00, 90.00 and 90.00 degrees. The distinct sites, in fractional coordinates, are Cr at (0.0000, 0.0000, 0.0000), Cd at (0.0000, 0.5000, 0.2384), Ru at (0.0000, 0.0000, 0.4622) and Ru at (0.0000, 0.5000, 0.7012).

The theoretical density is 10.6 g cm⁻³. For the energy of formation, the calculation gives 473.8 meV per atom. The value obtained for the uncorrected energy is -7.472 eV/atom. Its spin magnetization is 0.1 μB/f.u.

---

No. 5
Material: CrCdRu2
Method: DFT, PBEsol
State: optimized geometry

The space group is Pmm2 (No. 25) and the conventional cell measures 2.7169, 3.8047 and 5.5922 Å, with angles of 90.00, 90.00 and 90.00 degrees. The distinct sites, in fractional coordinates, are Cr at (0.0000, 0.0000, 0.0000), Cd at (0.5000, 0.5000, 0.6934), Ru at (0.0000, 0.0000, 0.4114) and Ru at (0.5000, 0.5000, 0.1784).

The theoretical density is 10.5 g cm⁻³. For the energy of formation, the calculation gives 374.6 meV per atom. The value obtained for the uncorrected energy is -7.571 eV/atom. Its spin magnetization is 0.0 μB/f.u.

---

No. 6
Material: Cr3CdS
Method: DFT, PBEsol
State: optimized geometry

The space group is Pm-3m (No. 221) and the conventional cell measures 4.9583, 4.9583 and 4.9583 Å, with angles of 90.00, 90.00 and 90.00 degrees. The distinct sites, in fractional coordinates, are Cr at (0.0000, 0.0000, 0.5000), Cd at (0.0000, 0.0000, 0.0000) and S at (0.5000, 0.5000, 0.5000).

The theoretical density is 4.1 g cm⁻³. The value obtained for the uncorrected energy is -5.448 eV/atom. Its spin magnetization is 12.9 μB/f.u. For the uncorrected formation energy, the calculation gives 1.81 eV per atom.

---

No. 7
Material: Cr2CdSe3S
Method: DFT, PBEsol
State: optimized geometry

The space group is Imm2 (No. 44) and the conventional cell measures 7.4366, 7.4706 and 10.5486 Å, with angles of 90.00, 90.00 and 90.00 degrees. The distinct sites, in fractional coordinates, are Cr at (0.0000, 0.2486, 0.0000), Cr at (0.2420, 0.0000, 0.7548), Cd at (0.0000, 0.0000, 0.3733), Cd at (0.0000, 0.5000, 0.6490), Se at (0.0000, 0.2837, 0.2360), Se at (0.2218, 0.5000, 0.0173), Se at (0.2251, 0.0000, 0.9925) and S at (0.0000, 0.2126, 0.7740).

The theoretical density is 5.5 g cm⁻³. The value obtained for the uncorrected energy is -5.910 eV/atom. Its spin magnetization is 6.0 μB/f.u. For the uncorrected formation energy, the calculation gives -0.54 eV per atom.

---

No. 8
Material: Cr2CdSeS3
Method: DFT, PBEsol
State: optimized geometry

The space group is Imm2 (No. 44) and the conventional cell measures 7.2424, 7.2904 and 10.2836 Å, with angles of 90.00, 90.00 and 90.00 degrees. The distinct sites, in fractional coordinates, are Cr at (0.0000, 0.2429, 0.0000), Cr at (0.2486, 0.0000, 0.2458), Cd at (0.0000, 0.0000, 0.6464), Cd at (0.0000, 0.5000, 0.3692), Se at (0.2258, 0.5000, 0.9881), S at (0.0000, 0.2155, 0.2310), S at (0.0000, 0.2882, 0.7696) and S at (0.2205, 0.0000, 0.0133).

The theoretical density is 4.8 g cm⁻³. The value obtained for the uncorrected energy is -6.155 eV/atom. Its spin magnetization is 6.0 μB/f.u. For the uncorrected formation energy, the calculation gives -0.63 eV per atom.

---

No. 9
Material: CrCdSb2
Method: DFT, PBEsol
State: optimized geometry

The space group is Imm2 (No. 44) and the conventional cell measures 3.1005, 4.3062 and 13.3834 Å, with angles of 90.00, 90.00 and 90.00 degrees. The distinct sites, in fractional coordinates, are Cr at (0.0000, 0.0000, 0.0000), Cd at (0.0000, 0.5000, 0.2953), Sb at (0.0000, 0.0000, 0.4592) and Sb at (0.0000, 0.5000, 0.6703).

The theoretical density is 7.6 g cm⁻³. The value obtained for the uncorrected energy is -4.880 eV/atom. Its spin magnetization is 2.8 μB/f.u. For the uncorrected formation energy, the calculation gives 0.26 eV per atom.

---

No. 10
Material: CrCdSb2
Method: DFT, PBEsol
State: optimized geometry

The space group is Cmmm (No. 65) and the conventional cell measures 6.1714, 7.4337 and 3.8361 Å, with angles of 90.00, 90.00 and 90.00 degrees. The distinct sites, in fractional coordinates, are Cr at (0.0000, 0.0000, 0.0000), Cd at (0.0000, 0.5000, 0.0000) and Sb at (0.2500, 0.2500, 0.5000).

The theoretical density is 7.7 g cm⁻³. The value obtained for the uncorrected energy is -4.793 eV/atom. Its spin magnetization is 3.7 μB/f.u. For the uncorrected formation energy, the calculation gives 0.34 eV per atom.

---

No. 11
Material: Cr2CdSb
Method: DFT, PBEsol
State: optimized geometry

The space group is F-43m (No. 216) and the conventional cell measures 6.5870, 6.5870 and 6.5870 Å, with angles of 90.00, 90.00 and 90.00 degrees. The distinct sites, in fractional coordinates, are Cr at (0.0000, 0.0000, 0.0000), Cr at (0.2500, 0.2500, 0.2500), Cd at (0.2500, 0.2500, 0.7500) and Sb at (0.0000, 0.0000, 0.5000).

The theoretical density is 7.9 g cm⁻³. The value obtained for the uncorrected energy is -5.989 eV/atom. Its spin magnetization is 0.5 μB/f.u. For the uncorrected formation energy, the calculation gives 0.57 eV per atom.

---

No. 12
Material: ZnCr2CdSb
Method: DFT, PBEsol
State: optimized geometry

The space group is P4/mmm (No. 123) and the conventional cell measures 5.0985, 5.0985 and 4.9894 Å, with angles of 90.00, 90.00 and 90.00 degrees. The distinct sites, in fractional coordinates, are Zn at (0.0000, 0.0000, 0.0000), Cr at (0.0000, 0.5000, 0.5000), Cd at (0.5000, 0.5000, 0.0000) and Sb at (0.0000, 0.0000, 0.5000).

The theoretical density is 5.2 g cm⁻³. The value obtained for the uncorrected energy is -4.445 eV/atom. Its spin magnetization is 8.5 μB/f.u. For the uncorrected formation energy, the calculation gives 1.12 eV per atom.

---

No. 13
Material: ScCr2Cd
Method: DFT, PBEsol
State: optimized geometry

The space group is P4mm (No. 99) and the conventional cell measures 2.9987, 2.9987 and 7.0607 Å, with angles of 90.00, 90.00 and 90.00 degrees. The distinct sites, in fractional coordinates, are Sc at (0.0000, 0.0000, 0.0000), Cr at (0.0000, 0.0000, 0.5878), Cr at (0.5000, 0.5000, 0.7412) and Cd at (0.5000, 0.5000, 0.3205).

The theoretical density is 6.8 g cm⁻³. For the energy of formation, the calculation gives 138.1 meV per atom. The value obtained for the uncorrected energy is -6.933 eV/atom. Its spin magnetization is 0.5 μB/f.u.

---

No. 14
Material: ScCr2Cd
Method: DFT, PBEsol
State: optimized geometry

The space group is Cmmm (No. 65) and the conventional cell measures 3.4952, 4.0078 and 8.8044 Å, with angles of 90.00, 90.00 and 90.00 degrees. The distinct sites, in fractional coordinates, are Sc at (0.0000, 0.0000, 0.0000), Cr at (0.0000, 0.5000, 0.2508) and Cd at (0.0000, 0.0000, 0.5000).

The theoretical density is 7.0 g cm⁻³. For the energy of formation, the calculation gives 624.9 meV per atom. The value obtained for the uncorrected energy is -6.447 eV/atom. Its spin magnetization is 0.0 μB/f.u.

---

No. 15
Material: ScCrCd3
Method: DFT, PBEsol
State: optimized geometry

The space group is Pm-3m (No. 221) and the conventional cell measures 5.3422, 5.3422 and 5.3422 Å, with angles of 90.00, 90.00 and 90.00 degrees. The distinct sites, in fractional coordinates, are Sc at (0.0000, 0.0000, 0.0000), Cr at (0.5000, 0.5000, 0.5000) and Cd at (0.0000, 0.0000, 0.5000).

The theoretical density is 4.7 g cm⁻³. For the energy of formation, the calculation gives 1221.7 meV per atom. The value obtained for the uncorrected energy is -2.866 eV/atom. Its spin magnetization is 4.8 μB/f.u.